[1]
First-principles (GGA-PBE) data for an optimized crystal structure of Tb2Zn4AgAu3, as listed in the Alexandria database.

Unit cell a=4.0858 b=4.0858 c=11.8968 alpha=90.00 beta=90.00 gamma=90.00
Sites, in units of the cell vectors:
Au1 0.5000 0.0000 0.8541
Zn1 0.5000 0.0000 0.6406
Zn2 0.5000 0.5000 0.0000
Tb1 0.5000 0.0000 0.2477
Au2 0.0000 0.5000 0.1459
Tb2 0.0000 0.5000 0.7523
Ag1 0.5000 0.5000 0.5000
Au3 0.0000 0.0000 0.5000
Zn3 0.0000 0.0000 0.0000
Zn4 0.0000 0.5000 0.3594

Properties
total energy = -31.47 eV per formula unit
symmetry = No. 115

[2]
First-principles (GGA-PBE) data for an optimized crystal structure of TiAlZnIr2, as listed in the Alexandria database.

Unit cell a=4.5459 b=4.3071 c=4.5459 alpha=90.00 beta=90.00 gamma=90.00
Sites, in units of the cell vectors:
Zn1 0.0000 0.0000 0.0000
Ti1 0.5000 0.5000 0.5000
Ir1 0.5000 0.0000 0.0000
Al1 0.0000 0.5000 0.0000
Ir2 0.0000 0.0000 0.5000

Properties
total energy = -26.92 eV per formula unit
symmetry = No. 123

[3]
First-principles (GGA-PBE) data for an optimized crystal structure of Dy3RhAu, as listed in the Alexandria database.

Unit cell a=5.5420 b=6.5813 c=8.5194 alpha=108.28 beta=100.82 gamma=114.18
Sites, in units of the cell vectors:
Dy1 0.2222 0.3892 0.6796
Au1 0.3944 0.7511 0.5070
Dy2 0.3294 0.7953 0.1441
Dy3 0.7778 0.6108 0.3204
Au2 0.6056 0.2489 0.4930
Dy4 0.9338 0.8008 0.7621
Dy5 0.0662 0.1992 0.2379
Rh1 0.7537 0.6981 0.0177
Rh2 0.2463 0.3019 0.9823
Dy6 0.6706 0.2047 0.8559

Properties
total energy = -27.84 eV per formula unit
symmetry = No. 2

[4]
First-principles (GGA-PBE) data for an optimized crystal structure of Nd2TmAu4, as listed in the Alexandria database.

Unit cell a=5.2457 b=5.2457 c=7.5409 alpha=110.35 beta=110.35 gamma=90.00
Sites, in units of the cell vectors:
Au1 0.1127 0.6127 0.2254
Tm1 0.0000 0.0000 0.0000
Nd1 0.7212 0.7212 0.4424
Au2 0.6127 0.1127 0.2254
Au3 0.3873 0.8873 0.7746
Nd2 0.2788 0.2788 0.5576
Au4 0.8873 0.3873 0.7746

Properties
total energy = -31.84 eV per formula unit
symmetry = No. 139

| no. | magnetization (μB/f.u.) |
| --- | --- |
| 1 | 0.00 |
| 2 | 0.00 |
| 3 | 0.00 |
| 4 | 0.00 |